Material: Hf2TiV
Method: DFT, GGA-PBE
State: optimized geometry

Cell: 3.0356 3.0356 9.7540 Å, 81.05 81.05 60.00°
Closest atoms and distances in Å follow each position.
Fractional coordinates of all 4 atoms:
V 0.0000 0.0000 0.0000  6 Hf 2.90, 6 V 3.04
Hf 0.7468 0.7468 0.7596  3 V 2.90, 6 Hf 3.04, 3 Ti 3.05
Ti 0.5000 0.5000 0.5000  6 Ti 3.04, 6 Hf 3.05
Hf 0.2532 0.2532 0.2404  3 V 2.90, 6 Hf 3.04, 3 Ti 3.05

Results
- M_tot (μB/cell) = 0.00
- volume (Å³/atom) = 19.14
- ΔE_f (eV/atom) = 0.255
- theoretical density (g/cm3) = 9.88
- energy above the lowest structure with this stoichiometry (meV/atom) = 165